No. 1
First-principles (PBE) data for a relaxed structure of YNpSe2, as listed in Alexandria via LeMat-Bulk.

POSCAR file:
```
YNpSe2
1.0
3.939 0.000 0.000
-1.969 3.411 0.000
0.000 0.000 21.971
Y Np Se
3 3 6
Cartesian
0.000 0.000 0.000
0.000 2.274 14.647
1.969 1.137 7.324
0.000 0.000 3.810
0.000 2.274 18.457
1.969 1.137 11.134
0.000 0.000 9.156
0.000 0.000 12.946
0.000 2.274 1.832
0.000 2.274 5.622
1.969 1.137 16.479
1.969 1.137 20.269
```

## Properties
* Fermi-level density of states: 2.506 states/eV per atom
* volume: 98.4 Å³/f.u.
* energy: -0.29229 Ha/atom
* uncorrected formation energy: -525 kJ/mol of formula units
* total moment: 14.0 μB/cell



No. 2
First-principles (PBE) data for a relaxed structure of Y2Np2Se7, as listed in Alexandria via LeMat-Bulk.

POSCAR file:
```
Y2Np2Se7
1.0
4.819 0.000 0.000
0.000 4.819 0.000
0.000 0.000 13.595
Y Np Se
2 2 7
Cartesian
0.000 2.410 1.888
2.410 0.000 11.707
0.000 2.410 8.480
2.410 0.000 5.115
0.000 0.000 3.244
0.000 0.000 6.798
0.000 0.000 10.351
2.410 2.410 0.000
2.410 2.410 3.520
2.410 2.410 6.798
2.410 2.410 10.075
```

## Properties
* Fermi-level density of states: 2.236 states/eV per atom
* volume: 315.8 Å³/f.u.
* energy: -0.25852 Ha/atom
* uncorrected formation energy: -1368 kJ/mol of formula units
* total moment: 6.0 μB/cell



No. 3
First-principles (PBE) data for a relaxed structure of NpZnSe2, as listed in Alexandria via LeMat-Bulk.

POSCAR file:
```
NpZnSe2
1.0
4.080 0.000 0.000
-2.040 3.533 0.000
0.000 0.000 25.101
Np Zn Se
3 3 6
Cartesian
0.000 0.000 0.000
0.000 2.356 16.734
2.040 1.178 8.367
0.000 0.000 12.550
0.000 2.356 4.183
2.040 1.178 20.917
0.000 0.000 10.004
0.000 0.000 15.096
0.000 2.356 1.637
0.000 2.356 6.730
2.040 1.178 18.371
2.040 1.178 23.463
```

## Properties
* Fermi-level density of states: 3.242 states/eV per atom
* volume: 120.6 Å³/f.u.
* energy: -0.21497 Ha/atom
* uncorrected formation energy: -214 kJ/mol of formula units
* total moment: 11.7 μB/cell



No. 4
First-principles (PBE) data for a relaxed structure of NpZnSe, as listed in Alexandria via LeMat-Bulk.

POSCAR file:
```
NpZnSe
1.0
2.331 1.346 7.538
-2.331 1.346 7.538
0.000 -2.692 7.538
Np Zn Se
2 2 2
Cartesian
0.000 0.000 1.815
0.000 0.000 20.800
0.000 0.000 7.556
0.000 0.000 15.059
0.000 0.000 4.819
0.000 0.000 17.796
```

## Properties
* Fermi-level density of states: 2.757 states/eV per atom
* volume: 71.0 Å³/f.u.
* energy: -0.23466 Ha/atom
* uncorrected formation energy: -141 kJ/mol of formula units
* total moment: 8.2 μB/cell



No. 5
First-principles (PBE) data for a relaxed structure of Zr3Np2Se8, as listed in Alexandria via LeMat-Bulk.

POSCAR file:
```
Zr3Np2Se8
1.0
7.163 -3.829 0.000
7.163 3.829 0.000
-1.980 0.000 6.361
Zr Np Se
3 2 8
Cartesian
0.000 0.000 0.000
6.173 1.883 3.181
6.173 -1.883 3.181
1.880 0.000 5.258
10.466 0.000 1.104
0.883 0.000 2.563
5.355 1.880 0.566
6.991 1.880 5.796
4.374 0.000 3.775
7.973 0.000 2.586
5.355 -1.880 0.566
6.991 -1.880 5.796
11.463 0.000 3.799
```

## Properties
* Fermi-level density of states: 1.876 states/eV per atom
* volume: 349.0 Å³/f.u.
* energy: -0.26845 Ha/atom
* uncorrected formation energy: -1502 kJ/mol of formula units
* total moment: 9.3 μB/cell



No. 6
First-principles (PBE) data for a relaxed structure of Zr2NpSe, as listed in Alexandria via LeMat-Bulk.

POSCAR file:
```
Zr2NpSe
1.0
3.420 0.000 0.000
-1.710 2.962 0.000
0.000 0.000 26.778
Zr Np Se
6 3 3
Cartesian
0.000 0.000 6.412
0.000 0.000 20.366
0.000 1.975 11.440
0.000 1.975 24.264
1.710 0.987 2.514
1.710 0.987 15.338
0.000 0.000 0.000
0.000 1.975 17.852
1.710 0.987 8.926
0.000 0.000 13.389
0.000 1.975 4.463
1.710 0.987 22.315
```

## Properties
* Fermi-level density of states: 1.421 states/eV per atom
* volume: 90.4 Å³/f.u.
* energy: -0.31925 Ha/atom
* uncorrected formation energy: -118 kJ/mol of formula units
* total moment: 12.6 μB/cell